The following is a PBE calculation of a relaxed KTlIO2 crystal, from Alexandria.

POSCAR file:
```
KTlIO2
1.0
5.2612 0.0000 0.0000
0.0000 5.2612 0.0000
0.0000 0.0000 7.1480
I Tl K O
1 1 1 2
Direct
0.0000 0.0000 0.5000
0.5000 0.5000 0.5000
0.0000 0.0000 0.0000
0.0000 0.5000 0.0000
0.5000 0.0000 0.0000
```

Properties
Polymorph energy (0 for the lowest one) ... 0.508 eV/atom
Raw formation energy ... 0.12 eV/atom
Magnetic moment ... 3.0 Bohr magnetons per cell



The following is a PBE calculation of a relaxed Cs2Bi2Au crystal, from Alexandria.

POSCAR file:
```
Cs2Bi2Au
1.0
-6.8390 2.8971 -2.2457
1.1555 -2.8076 -7.1408
-4.7537 -3.5982 -3.5703
Cs Au Bi
2 1 2
Direct
0.7500 0.2500 0.5000
0.2500 0.7500 0.5000
0.0000 0.0000 0.0000
0.3242 0.3242 0.3515
0.6758 0.6758 0.6485
```

Properties
ΔE_f ... -0.0859 eV/atom
Magnetic moment ... 0.0 Bohr magnetons per cell



The following is a PBE calculation of a relaxed K2ZrCr crystal, from Alexandria.

POSCAR file:
```
K2ZrCr
1.0
-3.9736 3.8945 5.0791
-6.3143 -2.8504 2.9596
7.4262 0.3646 -1.2137
Cr K Zr
1 2 1
Direct
0.2845 0.7845 0.5000
0.0349 0.0349 0.0000
0.7408 0.2408 0.5000
0.4399 0.4399 0.0000
```

Properties
Polymorph energy (0 for the lowest one) ... 0.313 eV/atom
ΔE_f ... 0.9909 eV/atom
Magnetic moment ... 1.8 Bohr magnetons per cell



The following is a PBE calculation of a relaxed La3AgOs crystal, from Alexandria.

POSCAR file:
```
La3AgOs
1.0
-5.1663 3.3718 -1.0351
3.1803 -3.3444 -5.2575
-3.1253 -6.5722 5.3993
La Ag Os
6 2 2
Direct
0.3427 0.7956 0.1367
0.1804 0.3721 0.6746
0.9219 0.8116 0.7865
0.0781 0.1884 0.2135
0.6573 0.2044 0.8633
0.8196 0.6279 0.3254
0.5382 0.2226 0.5011
0.4618 0.7774 0.4989
0.7604 0.6636 0.0314
0.2396 0.3364 0.9686
```

Properties
Polymorph energy (0 for the lowest one) ... 0.000 eV/atom
ΔE_f ... -0.2000 eV/atom
Magnetic moment ... 0.0 Bohr magnetons per cell



The following is a PBE calculation of a relaxed RuCl3O crystal, from Alexandria.

POSCAR file:
```
RuCl3O
1.0
-2.2927 7.2968 0.4823
-2.1552 -0.2152 -6.9888
-10.8222 -3.9427 3.4588
Ru Cl O
4 12 4
Direct
0.0733 0.3426 0.1154
0.0733 0.6574 0.6154
0.9267 0.3426 0.3846
0.9267 0.6574 0.8846
0.6608 0.3349 0.4613
0.6608 0.6651 0.9613
0.1997 0.5759 0.7910
0.0619 0.6827 0.0653
0.1997 0.4241 0.2910
0.3392 0.6651 0.5387
0.9381 0.6827 0.4347
0.8003 0.5759 0.7090
0.9381 0.3173 0.9347
0.8003 0.4241 0.2090
0.3392 0.3349 0.0387
0.0619 0.3173 0.5653
0.9633 0.1195 0.3493
0.0367 0.1195 0.1507
0.9633 0.8805 0.8493
0.0367 0.8805 0.6507
```

Properties
Polymorph energy (0 for the lowest one) ... 0.000 eV/atom
Raw formation energy ... -0.44 eV/atom
Magnetic moment ... 4.0 Bohr magnetons per cell



The following is a PBE calculation of a relaxed CdHg crystal, from Alexandria.

POSCAR file:
```
CdHg
1.0
-1.5398 -2.0152 4.5896
3.5711 -1.5482 3.5138
0.6816 2.7318 4.4237
Hg Cd
2 2
Direct
0.2500 0.2500 0.2500
0.5000 0.5000 0.5000
0.0000 0.0000 0.0000
0.7500 0.7500 0.7500
```

Properties
ΔE_f ... 0.0526 eV/atom
Magnetic moment ... 0.0 Bohr magnetons per cell



The following is a PBE calculation of a relaxed GaCu3Mo crystal, from Alexandria.

POSCAR file:
```
GaCu3Mo
1.0
4.7449 0.0000 0.0000
0.0000 4.7449 0.0000
0.0000 0.0000 4.7449
Mo Cu Ga
1 3 1
Direct
0.0000 0.0000 0.0000
0.0000 0.5000 0.0000
0.0000 0.0000 0.5000
0.5000 0.0000 0.0000
0.5000 0.5000 0.5000
```

Properties
Polymorph energy (0 for the lowest one) ... 0.374 eV/atom
ΔE_f ... 1.4216 eV/atom
Magnetic moment ... 0.0 Bohr magnetons per cell



The following is a PBE calculation of a relaxed GaCu2Ni4 crystal, from Alexandria.

POSCAR file:
```
GaCu2Ni4
1.0
-3.9645 -0.2525 -0.0775
0.0803 -1.7967 1.7456
1.4614 6.7555 5.0867
Ga Cu Ni
1 2 4
Direct
0.5000 0.0000 0.0000
0.7919 0.7919 0.5839
0.2081 0.2081 0.4161
0.6449 0.6449 0.2898
0.3551 0.3551 0.7102
0.0708 0.5708 0.1416
0.9292 0.4292 0.8584
```

Properties
ΔE_f ... -0.0053 eV/atom
Magnetic moment ... 0.0 Bohr magnetons per cell



The following is a PBE calculation of a relaxed K2NpCrSe4 crystal, from Alexandria.

POSCAR file:
```
K2NpCrSe4
1.0
4.1361 0.0000 0.0000
0.0000 6.9106 0.0753
0.0000 -2.4791 7.6202
K Np Cr Se
2 1 1 4
Direct
0.5000 0.0000 0.5000
0.0000 0.5000 0.5000
0.5000 0.5000 0.0000
0.0000 0.0000 0.0000
0.5000 0.2140 0.1890
0.5000 0.7860 0.8110
0.0000 0.2483 0.7989
0.0000 0.7517 0.2011
```

Properties
Raw formation energy ... -1.01 eV/atom
Magnetic moment ... 7.0 Bohr magnetons per cell



The following is a PBE calculation of a relaxed K2NpHO6 crystal, from Alexandria.

POSCAR file:
```
K2NpHO6
1.0
-5.4179 1.4950 3.6117
-3.7791 -0.4168 -5.4949
-5.1216 -2.7706 -0.3365
K Np H O
2 1 1 6
Direct
0.2516 0.7494 0.4999
0.7484 0.2506 0.5001
0.5000 0.5000 0.0000
0.0000 0.0000 0.0000
0.2982 0.7009 0.0008
0.7027 0.7027 0.9973
0.1791 0.1787 0.6438
0.7018 0.2991 0.9992
0.2973 0.2973 0.0027
0.8209 0.8213 0.3562
```

Properties
Magnetic moment ... 2.0 Bohr magnetons per cell
Energy ... -6.49 eV/atom



The following is a PBE calculation of a relaxed SrBeSb2 crystal, from Alexandria.

POSCAR file:
```
SrBeSb2
1.0
3.9653 0.0000 0.0000
0.0000 4.7562 -0.1368
0.0000 0.2196 6.4410
Sb Be Sr
2 1 1
Direct
0.0000 0.7518 0.9922
0.0000 0.7482 0.5078
0.5000 0.7500 0.7500
0.5000 0.2500 0.2500
```

Properties
Raw formation energy ... -0.22 eV/atom
Magnetic moment ... 0.0 Bohr magnetons per cell



The following is a PBE calculation of a relaxed Nb2MoSe crystal, from Alexandria.

POSCAR file:
```
Nb2MoSe
1.0
3.9262 0.0000 0.0000
0.0000 3.9262 0.0000
1.9631 1.9631 9.4934
Mo Nb Se
2 4 2
Direct
0.0000 0.0000 0.0000
0.7500 0.2500 0.5000
0.6148 0.1250 0.2500
0.1352 0.6250 0.2500
0.3750 0.3852 0.7500
0.8750 0.8648 0.7500
0.5000 0.5000 0.0000
0.2500 0.7500 0.5000
```

Properties
Raw formation energy ... 0.47 eV/atom
Magnetic moment ... 0.0 Bohr magnetons per cell



The following is a PBE calculation of a relaxed HfSN2O crystal, from Alexandria.

POSCAR file:
```
HfSN2O
1.0
-1.0184 3.4744 1.0281
-3.5489 -0.7411 -1.0110
-0.6867 -1.1680 3.2669
S Hf O N
1 1 1 2
Direct
0.0000 0.0000 0.0000
0.5000 0.5000 0.5000
0.0000 0.0000 0.5000
0.0000 0.5000 0.0000
0.5000 0.0000 0.0000
```

Properties
Raw formation energy ... 0.19 eV/atom
Magnetic moment ... 0.0 Bohr magnetons per cell



The following is a PBE calculation of a relaxed ScIr4Se crystal, from Alexandria.

POSCAR file:
```
ScIr4Se
1.0
0.0000 3.7115 3.7115
3.7115 0.0000 3.7115
3.7115 3.7115 0.0000
Sc Ir Se
1 4 1
Direct
0.2500 0.2500 0.2500
0.1261 0.6246 0.6246
0.6246 0.6246 0.6246
0.6246 0.1261 0.6246
0.6246 0.6246 0.1261
0.0000 0.0000 0.0000
```

Properties
Raw formation energy ... 0.05 eV/atom
Magnetic moment ... 0.0 Bohr magnetons per cell



The following is a PBE calculation of a relaxed Zr2SiPt crystal, from Alexandria.

POSCAR file:
```
Zr2SiPt
1.0
-7.3563 -0.5609 0.0540
0.5569 -7.3447 -0.4206
-3.3659 -4.1167 2.7233
Si Zr Pt
2 4 2
Direct
0.5000 0.5000 0.0000
0.2500 0.7500 0.5000
0.6257 0.1250 0.2500
0.1243 0.6250 0.2500
0.3750 0.3743 0.7500
0.8750 0.8757 0.7500
0.0000 0.0000 0.0000
0.7500 0.2500 0.5000
```

Properties
Raw formation energy ... -0.43 eV/atom
Magnetic moment ... 0.0 Bohr magnetons per cell



The following is a PBE calculation of a relaxed CeCu3Se3 crystal, from Alexandria.

POSCAR file:
```
CeCu3Se3
1.0
6.2910 0.0000 3.2029
2.3302 5.8435 3.2029
-0.0724 -0.0491 7.9219
Ce Cu Se
2 6 6
Direct
0.3335 0.3335 0.9996
0.6665 0.6665 0.0004
0.4739 0.7724 0.6264
0.7724 0.1273 0.6264
0.1273 0.4739 0.6264
0.8727 0.5261 0.3736
0.2276 0.8727 0.3736
0.5261 0.2276 0.3736
0.2363 0.5916 0.2565
0.9156 0.2363 0.2565
0.5916 0.9156 0.2565
0.4084 0.0844 0.7435
0.0844 0.7637 0.7435
0.7637 0.4084 0.7435
```

Properties
Raw formation energy ... -0.72 eV/atom
Magnetic moment ... 2.0 Bohr magnetons per cell



The following is a PBE calculation of a relaxed HfZr2Pa4 crystal, from Alexandria.

POSCAR file:
```
HfZr2Pa4
1.0
3.1488 0.0000 0.0000
0.0000 4.8369 -0.9440
0.0000 -0.3027 11.3128
Hf Zr Pa
1 2 4
Direct
0.0000 0.5000 0.0000
0.5000 0.2131 0.4262
0.5000 0.7869 0.5738
0.5000 0.0668 0.1336
0.0000 0.3549 0.7098
0.5000 0.9332 0.8664
0.0000 0.6451 0.2902
```

Properties
ΔE_f ... 0.1104 eV/atom
Magnetic moment ... 0.0 Bohr magnetons per cell



The following is a PBE calculation of a relaxed Cr2OsPt2 crystal, from Alexandria.

POSCAR file:
```
Cr2OsPt2
1.0
7.3158 0.0000 0.0000
0.0000 7.3158 0.0000
0.0000 0.0000 2.6604
Cr Os Pt
4 2 4
Direct
0.1706 0.6706 0.5000
0.6706 0.8294 0.5000
0.8294 0.3294 0.5000
0.3294 0.1706 0.5000
0.0000 0.0000 0.0000
0.5000 0.5000 0.0000
0.3711 0.8711 0.0000
0.8711 0.6289 0.0000
0.6289 0.1289 0.0000
0.1289 0.3711 0.0000
```

Properties
ΔE_f ... 0.2126 eV/atom
Magnetic moment ... 0.0 Bohr magnetons per cell



The following is a PBE calculation of a relaxed PrDyHoAl crystal, from Alexandria.

POSCAR file:
```
PrDyHoAl
1.0
5.4129 0.0000 0.0000
2.7065 4.6877 0.0000
2.7065 1.5626 4.4196
Pr Al Ho Dy
1 1 1 1
Direct
0.5000 0.5000 0.5000
0.2500 0.2500 0.2500
0.7500 0.7500 0.7500
0.0000 0.0000 0.0000
```

Properties
Polymorph energy (0 for the lowest one) ... 0.142 eV/atom
ΔE_f ... -0.0515 eV/atom
Magnetic moment ... 0.1 Bohr magnetons per cell



The following is a PBE calculation of a relaxed CsPuRuO6 crystal, from Alexandria.

POSCAR file:
```
CsPuRuO6
1.0
-2.3086 5.3479 -5.2367
-6.3689 0.5837 3.4038
6.3298 0.8937 3.9801
Cs Pu Ru O
2 2 2 12
Direct
0.8658 0.6158 0.7315
0.1342 0.3842 0.2685
0.5000 0.0000 0.5000
0.0000 0.0000 0.5000
0.5000 0.5000 0.0000
0.5000 0.0000 0.0000
0.4588 0.7088 0.9176
0.8248 0.0748 0.6496
0.8093 0.0789 0.2573
0.4480 0.6784 0.2573
0.4480 0.0789 0.2573
0.8093 0.6784 0.2573
0.5412 0.2912 0.0824
0.1752 0.9252 0.3504
0.1907 0.9211 0.7427
0.5520 0.3216 0.7427
0.5520 0.9211 0.7427
0.1907 0.3216 0.7427
```

Properties
Raw formation energy ... -1.84 eV/atom
Magnetic moment ... 2.4 Bohr magnetons per cell